Entry from OQMD via LeMat-Bulk: a relaxed ZnFeNiMo crystal (PBE).

Calculated values
Polymorph energy (0 for the lowest one): 158 meV per atom
Space group: F-43m, No. 216
Energy of formation: 21.9 kJ/mol of atoms

Unit cell a=4.1900 b=4.1900 c=4.1900 alpha=60.00 beta=60.00 gamma=60.00
Closest atoms and distances in Å follow each position.
Atoms (fractional coordinates):
Fe 0.7500 0.7500 0.7500  4 Ni 2.57, 4 Zn 2.57
Mo 0.2500 0.2500 0.2500  4 Zn 2.57, 4 Ni 2.57
Ni 0.5000 0.5000 0.5000  4 Fe 2.57, 4 Mo 2.57
Zn 0.0000 0.0000 0.0000  4 Mo 2.57, 4 Fe 2.57


Entry from OQMD via LeMat-Bulk: a relaxed NpFeMo crystal (PBE).

Calculated values
Polymorph energy (0 for the lowest one): 0 meV per atom
Space group: F-43m, No. 216
Energy of formation: 66.1 kJ/mol of atoms

Unit cell a=4.1845 b=4.1845 c=4.1845 alpha=60.00 beta=60.00 gamma=60.00
Closest atoms and distances in Å follow each position.
Atoms (fractional coordinates):
Fe 0.0000 0.0000 0.0000  4 Mo 2.56, 4 Np 2.56
Mo 0.7500 0.7500 0.7500  4 Fe 2.56
Np 0.2500 0.2500 0.2500  4 Fe 2.56


Entry from OQMD via LeMat-Bulk: a relaxed FeSbMoOs crystal (PBE).

Calculated values
Polymorph energy (0 for the lowest one): 0 meV per atom
Space group: F-43m, No. 216

Unit cell a=4.4458 b=4.4458 c=4.4458 alpha=60.00 beta=60.00 gamma=60.00
Closest atoms and distances in Å follow each position.
Atoms (fractional coordinates):
Fe 0.7500 0.7500 0.7500  4 Mo 2.72, 4 Sb 2.72
Mo 0.5000 0.5000 0.5000  4 Fe 2.72, 4 Os 2.72
Os 0.2500 0.2500 0.2500  4 Mo 2.72, 4 Sb 2.72
Sb 0.0000 0.0000 0.0000  4 Fe 2.72, 4 Os 2.72


Entry from OQMD via LeMat-Bulk: a relaxed TlFeMoOs crystal (PBE).

Calculated values
Polymorph energy (0 for the lowest one): 0 meV per atom
Space group: F-43m, No. 216

Unit cell a=4.4952 b=4.4952 c=4.4952 alpha=60.00 beta=60.00 gamma=60.00
Closest atoms and distances in Å follow each position.
Atoms (fractional coordinates):
Fe 0.7500 0.7500 0.7500  4 Mo 2.75, 4 Tl 2.75
Mo 0.5000 0.5000 0.5000  4 Os 2.75, 4 Fe 2.75
Os 0.2500 0.2500 0.2500  4 Mo 2.75, 4 Tl 2.75
Tl 0.0000 0.0000 0.0000  4 Fe 2.75, 4 Os 2.75


Entry from OQMD via LeMat-Bulk: a relaxed ZnFeMoOs crystal (PBE).

Calculated values
Polymorph energy (0 for the lowest one): 0 meV per atom
Space group: F-43m, No. 216
Energy of formation: 11.6 kJ/mol of atoms

Unit cell a=4.2552 b=4.2552 c=4.2552 alpha=60.00 beta=60.00 gamma=60.00
Closest atoms and distances in Å follow each position.
Atoms (fractional coordinates):
Fe 0.7500 0.7500 0.7500  4 Zn 2.61, 4 Mo 2.61
Mo 0.5000 0.5000 0.5000  4 Os 2.61, 4 Fe 2.61
Os 0.2500 0.2500 0.2500  4 Mo 2.61, 4 Zn 2.61
Zn 0.0000 0.0000 0.0000  4 Fe 2.61, 4 Os 2.61


Entry from OQMD via LeMat-Bulk: a relaxed Fe2MoP12 crystal (PBE).

Calculated values
Space group: Pbcn, No. 60
Calculated total energy: -0.4800 Ry/atom

Unit cell a=13.7479 b=5.6753 c=11.1123 alpha=90.00 beta=90.00 gamma=90.00
Closest atoms and distances in Å follow each position.
Atoms (fractional coordinates):
Fe 0.6503 0.1034 0.0411  6 P 2.16-2.25
Fe 0.8497 0.6034 0.0411  6 P 2.16-2.25
Fe 0.3497 0.1034 0.4589  6 P 2.16-2.25
Fe 0.1503 0.6034 0.4589  6 P 2.16-2.25
Fe 0.8497 0.3966 0.5411  6 P 2.16-2.25
Fe 0.6503 0.8966 0.5411  6 P 2.16-2.25
Fe 0.1503 0.3966 0.9589  6 P 2.16-2.25
Fe 0.3497 0.8966 0.9589  6 P 2.16-2.25
Mo 0.0000 0.1010 0.2500  8 P 2.48-2.56
Mo 0.5000 0.6010 0.2500  8 P 2.48-2.56
Mo 0.5000 0.3990 0.7500  8 P 2.48-2.56
Mo 0.0000 0.8990 0.7500  8 P 2.48-2.56
P 0.7029 0.4669 0.0002  2 Fe 2.21-2.23, 2 P 2.25-2.26
P 0.7971 0.9669 0.0002  2 Fe 2.21-2.23, 2 P 2.25-2.26
P 0.9084 0.2347 0.0611  1 Fe 2.25, 2 P 2.26-2.27
P 0.5916 0.7347 0.0611  1 Fe 2.25, 2 P 2.26-2.27
P 0.5085 0.2563 0.1017  1 Fe 2.24, 2 P 2.27-2.28
P 0.9915 0.7563 0.1017  1 Fe 2.24, 2 P 2.27-2.28
P 0.0869 0.4376 0.1442  2 P 2.24-2.28, 1 Fe 2.25
P 0.4131 0.9376 0.1442  2 P 2.24-2.28, 1 Fe 2.25
P 0.3321 0.4843 0.1958  3 P 2.25-2.26, 1 Mo 2.48
P 0.1679 0.9843 0.1958  3 P 2.25-2.26, 1 Mo 2.48
P 0.6895 0.1185 0.2290  1 Fe 2.16, 3 P 2.24-2.26
P 0.8105 0.6185 0.2290  1 Fe 2.16, 3 P 2.24-2.26
P 0.3105 0.1185 0.2710  1 Fe 2.16, 3 P 2.24-2.26
P 0.1895 0.6185 0.2710  1 Fe 2.16, 3 P 2.24-2.26
P 0.6679 0.4843 0.3042  3 P 2.25-2.26, 1 Mo 2.48
P 0.8321 0.9843 0.3042  3 P 2.25-2.26, 1 Mo 2.48
P 0.9131 0.4376 0.3558  2 P 2.24-2.28, 1 Fe 2.25
P 0.5869 0.9376 0.3558  2 P 2.24-2.28, 1 Fe 2.25
P 0.4915 0.2563 0.3983  1 Fe 2.24, 2 P 2.27-2.28
P 0.0085 0.7563 0.3983  1 Fe 2.24, 2 P 2.27-2.28
P 0.0916 0.2347 0.4389  1 Fe 2.25, 2 P 2.26-2.27
P 0.4084 0.7347 0.4389  1 Fe 2.25, 2 P 2.26-2.27
P 0.2971 0.4669 0.4998  2 Fe 2.21-2.23, 2 P 2.25-2.26
P 0.2029 0.9669 0.4998  2 Fe 2.21-2.23, 2 P 2.25-2.26
P 0.7971 0.0331 0.5002  2 Fe 2.21-2.23, 2 P 2.25-2.26
P 0.7029 0.5331 0.5002  2 Fe 2.21-2.23, 2 P 2.25-2.26
P 0.5916 0.2653 0.5611  1 Fe 2.25, 2 P 2.26-2.27
P 0.9084 0.7653 0.5611  1 Fe 2.25, 2 P 2.26-2.27
P 0.9915 0.2437 0.6017  1 Fe 2.24, 2 P 2.27-2.28
P 0.5085 0.7437 0.6017  1 Fe 2.24, 2 P 2.27-2.28
P 0.4131 0.0624 0.6442  2 P 2.24-2.28, 1 Fe 2.25
P 0.0869 0.5624 0.6442  2 P 2.24-2.28, 1 Fe 2.25
P 0.1679 0.0157 0.6958  3 P 2.25-2.26, 1 Mo 2.48
P 0.3321 0.5157 0.6958  3 P 2.25-2.26, 1 Mo 2.48
P 0.8105 0.3815 0.7290  1 Fe 2.16, 3 P 2.24-2.26
P 0.6895 0.8815 0.7290  1 Fe 2.16, 3 P 2.24-2.26
P 0.1895 0.3815 0.7710  1 Fe 2.16, 3 P 2.24-2.26
P 0.3105 0.8815 0.7710  1 Fe 2.16, 3 P 2.24-2.26
P 0.8321 0.0157 0.8042  3 P 2.25-2.26, 1 Mo 2.48
P 0.6679 0.5157 0.8042  3 P 2.25-2.26, 1 Mo 2.48
P 0.5869 0.0624 0.8558  2 P 2.24-2.28, 1 Fe 2.25
P 0.9131 0.5624 0.8558  2 P 2.24-2.28, 1 Fe 2.25
P 0.0085 0.2437 0.8983  1 Fe 2.24, 2 P 2.27-2.28
P 0.4915 0.7437 0.8983  1 Fe 2.24, 2 P 2.27-2.28
P 0.4084 0.2653 0.9389  1 Fe 2.25, 2 P 2.26-2.27
P 0.0916 0.7653 0.9389  1 Fe 2.25, 2 P 2.26-2.27
P 0.2029 0.0331 0.9998  2 Fe 2.21-2.23, 2 P 2.25-2.26
P 0.2971 0.5331 0.9998  2 Fe 2.21-2.23, 2 P 2.25-2.26


Entry from OQMD via LeMat-Bulk: a relaxed PaFeMo crystal (PBE).

Calculated values
Polymorph energy (0 for the lowest one): 386 meV per atom
Space group: F-43m, No. 216
Energy of formation: 76.4 kJ/mol of atoms

Unit cell a=4.3062 b=4.3062 c=4.3062 alpha=60.00 beta=60.00 gamma=60.00
Closest atoms and distances in Å follow each position.
Atoms (fractional coordinates):
Fe 0.5000 0.5000 0.5000  4 Pa 2.64
Mo 0.0000 0.0000 0.0000  4 Pa 2.64
Pa 0.2500 0.2500 0.2500  4 Fe 2.64, 4 Mo 2.64


Entry from OQMD via LeMat-Bulk: a relaxed PaFeMo crystal (PBE).

Calculated values
Polymorph energy (0 for the lowest one): 0 meV per atom
Space group: F-43m, No. 216
Energy of formation: 39.2 kJ/mol of atoms

Unit cell a=4.3060 b=4.3060 c=4.3060 alpha=60.00 beta=60.00 gamma=60.00
Closest atoms and distances in Å follow each position.
Atoms (fractional coordinates):
Fe 0.0000 0.0000 0.0000  4 Mo 2.64, 4 Pa 2.64
Mo 0.7500 0.7500 0.7500  4 Fe 2.64
Pa 0.2500 0.2500 0.2500  4 Fe 2.64


Entry from OQMD via LeMat-Bulk: a relaxed FeMoPdPb crystal (PBE).

Calculated values
Polymorph energy (0 for the lowest one): 0 meV per atom
Space group: F-43m, No. 216

Unit cell a=4.5517 b=4.5517 c=4.5517 alpha=60.00 beta=60.00 gamma=60.00
Closest atoms and distances in Å follow each position.
Atoms (fractional coordinates):
Fe 0.7500 0.7500 0.7500  4 Mo 2.79, 4 Pb 2.79
Mo 0.5000 0.5000 0.5000  4 Fe 2.79, 4 Pd 2.79
Pb 0.0000 0.0000 0.0000  4 Pd 2.79, 4 Fe 2.79
Pd 0.2500 0.2500 0.2500  4 Pb 2.79, 4 Mo 2.79


Entry from OQMD via LeMat-Bulk: a relaxed FeMoPtPb crystal (PBE).

Calculated values
Polymorph energy (0 for the lowest one): 0 meV per atom
Space group: F-43m, No. 216

Unit cell a=4.5673 b=4.5673 c=4.5673 alpha=60.00 beta=60.00 gamma=60.00
Closest atoms and distances in Å follow each position.
Atoms (fractional coordinates):
Fe 0.7500 0.7500 0.7500  4 Pb 2.80, 4 Pt 2.80
Mo 0.2500 0.2500 0.2500  4 Pt 2.80, 4 Pb 2.80
Pb 0.0000 0.0000 0.0000  4 Fe 2.80, 4 Mo 2.80
Pt 0.5000 0.5000 0.5000  4 Mo 2.80, 4 Fe 2.80


Entry from OQMD via LeMat-Bulk: a relaxed TaFeMoPb crystal (PBE).

Calculated values
Polymorph energy (0 for the lowest one): 0 meV per atom
Space group: F-43m, No. 216

Unit cell a=4.5624 b=4.5624 c=4.5624 alpha=60.00 beta=60.00 gamma=60.00
Closest atoms and distances in Å follow each position.
Atoms (fractional coordinates):
Fe 0.7500 0.7500 0.7500  4 Ta 2.79, 4 Pb 2.79
Mo 0.2500 0.2500 0.2500  4 Ta 2.79, 4 Pb 2.79
Pb 0.0000 0.0000 0.0000  4 Mo 2.79, 4 Fe 2.79
Ta 0.5000 0.5000 0.5000  4 Mo 2.79, 4 Fe 2.79


Entry from OQMD via LeMat-Bulk: a relaxed FeMoPbW crystal (PBE).

Calculated values
Polymorph energy (0 for the lowest one): 0 meV per atom
Space group: F-43m, No. 216

Unit cell a=4.5096 b=4.5096 c=4.5096 alpha=60.00 beta=60.00 gamma=60.00
Closest atoms and distances in Å follow each position.
Atoms (fractional coordinates):
Fe 0.7500 0.7500 0.7500  4 W 2.76, 4 Pb 2.76
Mo 0.2500 0.2500 0.2500  4 Pb 2.76, 4 W 2.76
Pb 0.0000 0.0000 0.0000  4 Mo 2.76, 4 Fe 2.76
W 0.5000 0.5000 0.5000  4 Fe 2.76, 4 Mo 2.76


Entry from OQMD via LeMat-Bulk: a relaxed ZnFeMoPb crystal (PBE).

Calculated values
Polymorph energy (0 for the lowest one): 0 meV per atom
Space group: F-43m, No. 216

Unit cell a=4.5353 b=4.5353 c=4.5353 alpha=60.00 beta=60.00 gamma=60.00
Closest atoms and distances in Å follow each position.
Atoms (fractional coordinates):
Fe 0.7500 0.7500 0.7500  4 Zn 2.78, 4 Pb 2.78
Mo 0.2500 0.2500 0.2500  4 Zn 2.78, 4 Pb 2.78
Pb 0.0000 0.0000 0.0000  4 Fe 2.78, 4 Mo 2.78
Zn 0.5000 0.5000 0.5000  4 Mo 2.78, 4 Fe 2.78


Entry from OQMD via LeMat-Bulk: a relaxed ZrFeMoPb crystal (PBE).

Calculated values
Polymorph energy (0 for the lowest one): 0 meV per atom
Space group: F-43m, No. 216

Unit cell a=4.6692 b=4.6692 c=4.6692 alpha=60.00 beta=60.00 gamma=60.00
Closest atoms and distances in Å follow each position.
Atoms (fractional coordinates):
Fe 0.7500 0.7500 0.7500  4 Zr 2.86, 4 Pb 2.86
Mo 0.2500 0.2500 0.2500  4 Zr 2.86, 4 Pb 2.86
Pb 0.0000 0.0000 0.0000  4 Mo 2.86, 4 Fe 2.86
Zr 0.5000 0.5000 0.5000  4 Mo 2.86, 4 Fe 2.86


Entry from OQMD via LeMat-Bulk: a relaxed Fe2MoPd crystal (PBE).

Calculated values
Space group: F-43m, No. 216
Energy of formation: 24.8 kJ/mol of atoms

Unit cell a=4.2739 b=4.2739 c=4.2739 alpha=60.00 beta=60.00 gamma=60.00
Closest atoms and distances in Å follow each position.
Atoms (fractional coordinates):
Fe 0.2500 0.2500 0.2500  4 Fe 2.62, 4 Pd 2.62
Fe 0.5000 0.5000 0.5000  4 Fe 2.62, 4 Mo 2.62
Mo 0.7500 0.7500 0.7500  4 Fe 2.62, 4 Pd 2.62
Pd 0.0000 0.0000 0.0000  4 Fe 2.62, 4 Mo 2.62


Entry from OQMD via LeMat-Bulk: a relaxed FeMoPd crystal (PBE).

Calculated values
Polymorph energy (0 for the lowest one): 0 meV per atom
Space group: F-43m, No. 216
Energy of formation: 53.3 kJ/mol of atoms

Unit cell a=4.0320 b=4.0320 c=4.0320 alpha=60.00 beta=60.00 gamma=60.00
Closest atoms and distances in Å follow each position.
Atoms (fractional coordinates):
Fe 0.0000 0.0000 0.0000  4 Mo 2.47, 4 Pd 2.47
Mo 0.2500 0.2500 0.2500  4 Fe 2.47
Pd 0.7500 0.7500 0.7500  4 Fe 2.47


Entry from OQMD via LeMat-Bulk: a relaxed FeMo2Pd crystal (PBE).

Calculated values
Space group: F-43m, No. 216
Energy of formation: 27.0 kJ/mol of atoms

Unit cell a=4.3756 b=4.3756 c=4.3756 alpha=60.00 beta=60.00 gamma=60.00
Closest atoms and distances in Å follow each position.
Atoms (fractional coordinates):
Fe 0.2500 0.2500 0.2500  4 Pd 2.68, 4 Mo 2.68
Mo 0.0000 0.0000 0.0000  4 Mo 2.68, 4 Fe 2.68
Mo 0.7500 0.7500 0.7500  4 Mo 2.68, 4 Pd 2.68
Pd 0.5000 0.5000 0.5000  4 Fe 2.68, 4 Mo 2.68


Entry from OQMD via LeMat-Bulk: a relaxed FeSbMoPd crystal (PBE).

Calculated values
Polymorph energy (0 for the lowest one): 0 meV per atom
Space group: F-43m, No. 216

Unit cell a=4.4809 b=4.4809 c=4.4809 alpha=60.00 beta=60.00 gamma=60.00
Closest atoms and distances in Å follow each position.
Atoms (fractional coordinates):
Fe 0.7500 0.7500 0.7500  4 Sb 2.74, 4 Pd 2.74
Mo 0.2500 0.2500 0.2500  4 Pd 2.74, 4 Sb 2.74
Pd 0.5000 0.5000 0.5000  4 Mo 2.74, 4 Fe 2.74
Sb 0.0000 0.0000 0.0000  4 Fe 2.74, 4 Mo 2.74


Entry from OQMD via LeMat-Bulk: a relaxed FeSnMoPd crystal (PBE).

Calculated values
Polymorph energy (0 for the lowest one): 0 meV per atom
Space group: F-43m, No. 216

Unit cell a=4.4855 b=4.4855 c=4.4855 alpha=60.00 beta=60.00 gamma=60.00
Closest atoms and distances in Å follow each position.
Atoms (fractional coordinates):
Fe 0.7500 0.7500 0.7500  4 Sn 2.75, 4 Mo 2.75
Mo 0.5000 0.5000 0.5000  4 Pd 2.75, 4 Fe 2.75
Pd 0.2500 0.2500 0.2500  4 Sn 2.75, 4 Mo 2.75
Sn 0.0000 0.0000 0.0000  4 Pd 2.75, 4 Fe 2.75


Entry from OQMD via LeMat-Bulk: a relaxed ZnFeMoPd crystal (PBE).

Calculated values
Polymorph energy (0 for the lowest one): 0 meV per atom
Space group: F-43m, No. 216
Energy of formation: 11.9 kJ/mol of atoms

Unit cell a=4.3179 b=4.3179 c=4.3179 alpha=60.00 beta=60.00 gamma=60.00
Closest atoms and distances in Å follow each position.
Atoms (fractional coordinates):
Fe 0.7500 0.7500 0.7500  4 Mo 2.64, 4 Zn 2.64
Mo 0.5000 0.5000 0.5000  4 Fe 2.64, 4 Pd 2.64
Pd 0.2500 0.2500 0.2500  4 Zn 2.64, 4 Mo 2.64
Zn 0.0000 0.0000 0.0000  4 Pd 2.64, 4 Fe 2.64